(1)
Density functional theory data (PBE) for a relaxed Ba2LiAsO crystal.

POSCAR file:
```
Ba2LiAsO
1.0
7.0689 0.0000 0.0000
0.0000 4.3792 0.0000
-2.6153 0.0000 8.3299
Ba Li As O
4 2 2 2
direct
0.1937 0.2500 0.3901
0.2144 0.2500 0.9580
0.7856 0.7500 0.0420
0.8063 0.7500 0.6099
0.4470 0.7500 0.2480
0.5530 0.2500 0.7520
0.3421 0.7500 0.7008
0.6579 0.2500 0.2992
0.1678 0.7500 0.1660
0.8322 0.2500 0.8340
```

Properties
- E above lowest polymorph (meV per atom) = 0
- ΔE_f (raw) (eV per atom) = -1.58

(2)
Density functional theory data (PBE) for a relaxed Ag2AsAuO4 crystal.

POSCAR file:
```
Ag2AsAuO4
1.0
-3.0799 3.1529 3.1586
3.0799 -3.1529 3.1586
3.0799 3.1529 -3.1586
Ag As Au O
2 1 1 4
direct
0.2419 0.0000 0.2419
0.7581 0.0000 0.7581
0.5000 0.5000 0.0000
0.0000 0.5000 0.5000
0.1761 0.1877 0.6746
0.4870 0.8123 0.9884
0.5130 0.5015 0.3254
0.8239 0.4985 0.0116
```

Properties
- ΔE_f (raw) (eV per atom) = -0.43

(3)
Density functional theory data (PBE) for a relaxed NpBi2Te crystal.

POSCAR file:
```
NpBi2Te
1.0
4.4358 0.0000 0.0000
0.0000 4.4358 0.0000
0.0000 0.0000 6.1853
Np Bi Te
1 2 1
direct
0.0000 0.0000 0.0000
0.5000 0.5000 0.2432
0.5000 0.5000 0.7568
0.0000 0.0000 0.5000
```

Properties
- E above lowest polymorph (meV per atom) = 67
- ΔE_f (raw) (eV per atom) = -0.03

(4)
Density functional theory data (PBE) for a relaxed HfAl2Sn crystal.

POSCAR file:
```
HfAl2Sn
1.0
-3.8880 3.8880 2.8750
3.8880 -3.8880 2.8750
3.8880 3.8880 -2.8750
Hf Al Sn
2 4 2
direct
0.0000 0.0000 0.0000
0.7500 0.2500 0.5000
0.1365 0.6250 0.0115
0.3750 0.3865 0.5115
0.6135 0.1250 0.9885
0.8750 0.8635 0.4885
0.2500 0.7500 0.5000
0.5000 0.5000 0.0000
```

Properties
- ΔE_f (eV per atom) = 0.1986

(5)
Density functional theory data (PBE) for a relaxed BaCrAs crystal.

POSCAR file:
```
BaCrAs
1.0
0.0000 3.7278 3.7278
3.7278 0.0000 3.7278
3.7278 3.7278 0.0000
Ba Cr As
1 1 1
direct
0.0000 0.0000 0.0000
0.7500 0.7500 0.7500
0.2500 0.2500 0.2500
```

Properties
- ΔE_f (eV per atom) = 0.5558

(6)
Density functional theory data (PBE) for a relaxed Pr8CdIn2 crystal.

POSCAR file:
```
Pr8CdIn2
1.0
-2.6405 4.4760 7.6083
2.6405 -4.4760 7.6083
2.6405 4.4760 -7.6083
Pr Cd In
8 1 2
direct
0.1202 0.3418 0.7784
0.1415 0.1415 0.0000
0.3177 0.0000 0.3177
0.4367 0.6582 0.7784
0.5633 0.3418 0.2216
0.6823 0.0000 0.6823
0.8585 0.8585 0.0000
0.8798 0.6582 0.2216
0.0000 0.5000 0.5000
0.3046 0.8046 0.5000
0.6954 0.1954 0.5000
```

Properties
- ΔE_f (eV per atom) = -0.1787
- E above lowest polymorph (meV per atom) = 16

(7)
Density functional theory data (PBE) for a relaxed TbFeN crystal.

POSCAR file:
```
TbFeN
1.0
1.5538 -8.2001 0.0000
1.5538 8.2001 0.0000
0.0000 0.0000 3.4815
Tb Fe N
2 2 2
direct
0.1044 0.8956 0.7500
0.8956 0.1044 0.2500
0.2335 0.7665 0.2500
0.7665 0.2335 0.7500
0.3324 0.6676 0.7500
0.6676 0.3324 0.2500
```

Properties
- ΔE_f (raw) (eV per atom) = -0.33

(8)
Density functional theory data (PBE) for a relaxed SrCa2Zn2 crystal.

POSCAR file:
```
SrCa2Zn2
1.0
-2.4881 2.4881 6.4883
2.4881 -2.4881 6.4883
2.4881 2.4881 -6.4883
Sr Ca Zn
1 2 2
direct
0.0000 0.0000 0.0000
0.2500 0.7500 0.5000
0.7500 0.2500 0.5000
0.4027 0.4027 0.0000
0.5973 0.5973 0.0000
```

Properties
- ΔE_f (eV per atom) = -0.1150
- E above lowest polymorph (meV per atom) = 79

Looking at M_tot for the records above, in order, we have 0.0 0.0 4.4 0.0 5.0 0.0 0.0 0.0 μB/cell.
Looking at calculated total energy for the records above, in order, we have -4.65 -4.61 -6.00 -5.16 -4.84 -4.24 -7.47 -1.76 eV/atom.